A relaxed Te2MoCl4O crystal, computed with PBE with a Hubbard U.

Properties
Density (Mg/m³): 3.29
Size of the total moment (μB per atom): 0.12
Uncorrected energy (eV/atom): -3.9572

abc: 7.9404 10.1532 16.0119
angles: 52.70 90.00 90.00
Closest atoms and distances in Å follow each position.
Atoms (fractional coordinates):
Mo  0.1429  0.7905  0.0606  1 O 1.70
Mo  0.8571  0.2095  0.9394  1 O 1.70
Mo  0.3571  0.7905  0.5606  1 O 1.70
Mo  0.6429  0.2095  0.4394  1 O 1.70
Te  0.6974  0.4934  0.0735  2 Te 2.72-2.73
Te  0.8026  0.4934  0.5735  2 Te 2.72-2.73
Te  0.4180  0.3021  0.1283  2 Te 2.72-2.73
Te  0.9180  0.6979  0.3717  2 Te 2.72-2.73
Te  0.0820  0.3021  0.6283  2 Te 2.72-2.73
Te  0.1974  0.5066  0.4265  2 Te 2.72-2.73
Te  0.5820  0.6979  0.8717  2 Te 2.72-2.73
Te  0.3026  0.5066  0.9265  2 Te 2.72-2.73
O  0.3337  0.7405  0.0392  1 Mo 1.70
O  0.8337  0.2595  0.4608  1 Mo 1.70
O  0.1663  0.7405  0.5392  1 Mo 1.70
O  0.6663  0.2595  0.9608  1 Mo 1.70
Cl  0.7727  0.1686  0.8115  1 Mo 2.42
Cl  0.9844  0.7680  0.9395  1 Mo 2.44
Cl  0.0335  0.5291  0.1993  1 Mo 2.36
Cl  0.8333  0.9089  0.0760  1 Mo 2.46
Cl  0.4844  0.2320  0.5605  1 Mo 2.44
Cl  0.7273  0.1686  0.3115  1 Mo 2.42
Cl  0.6667  0.9089  0.5760  1 Mo 2.46
Cl  0.5335  0.4709  0.3007  1 Mo 2.36
Cl  0.2727  0.8314  0.6885  1 Mo 2.42
Cl  0.4665  0.5291  0.6993  1 Mo 2.36
Cl  0.2273  0.8314  0.1885  1 Mo 2.42
Cl  0.1667  0.0911  0.9240  1 Mo 2.46
Cl  0.0156  0.2320  0.0605  1 Mo 2.44
Cl  0.3333  0.0911  0.4240  1 Mo 2.46
Cl  0.5156  0.7680  0.4395  1 Mo 2.44
Cl  0.9665  0.4709  0.8007  1 Mo 2.36